No. 1
First-principles (GGA-PBE) data for a relaxed structure of KPrAg2, as listed in the Alexandria database.

Cell lengths 3.912, 3.912, 8.211 Å; angles 90.00, 90.00, 90.00 degrees
Fractional positions:
K 0.000 0.000 0.000
Pr 0.000 0.000 0.500
Ag 0.500 0.500 0.311
Ag 0.500 0.500 0.689

Summary:
E	-12.0	eV/f.u.
E_form	-0.10	eV/atom
SG	No. 123
density	5.23	g/cm³
relative energy among the computed polymorphs	0.0	meV per atom
total moment	0.000	μB/atom

---

No. 2
First-principles (GGA-PBE) data for a relaxed structure of CoPd2Se4, as listed in the Alexandria database.

Cell lengths 7.338, 7.338, 7.338 Å; angles 121.43, 118.50, 90.08 degrees
Fractional positions:
Co 0.500 0.000 0.000
Co 0.500 0.500 0.500
Pd 0.000 0.000 0.000
Pd 0.118 0.368 0.750
Pd 0.500 0.000 0.500
Pd 0.882 0.632 0.250
Se 0.270 0.255 0.484
Se 0.270 0.786 0.016
Se 0.282 0.245 0.037
Se 0.292 0.755 0.537
Se 0.708 0.245 0.463
Se 0.718 0.755 0.963
Se 0.730 0.214 0.984
Se 0.730 0.745 0.516

Summary:
E	-33.6	eV/f.u.
ΔE_f (raw)	-0.31	eV/atom
SG	No. 74
density	6.99	g/cm³
total moment	0.000	μB/atom

---

No. 3
First-principles (GGA-PBE) data for a relaxed structure of Na3Li3HgCl8, as listed in the Alexandria database.

Cell lengths 7.812, 7.812, 7.812 Å; angles 58.75, 58.75, 58.75 degrees
Fractional positions:
Na 0.000 0.500 0.500
Na 0.500 0.000 0.500
Na 0.500 0.500 0.000
Li 0.000 0.000 0.500
Li 0.000 0.500 0.000
Li 0.500 0.000 0.000
Hg 0.500 0.500 0.500
Cl 0.236 0.747 0.747
Cl 0.243 0.243 0.243
Cl 0.253 0.253 0.764
Cl 0.253 0.764 0.253
Cl 0.747 0.236 0.747
Cl 0.747 0.747 0.236
Cl 0.757 0.757 0.757
Cl 0.764 0.253 0.253

Summary:
E	-47.9	eV/f.u.
ΔE_f (raw)	-1.54	eV/atom
SG	No. 166
density	2.91	g/cm³
total moment	0.000	μB/atom

---

No. 4
First-principles (GGA-PBE) data for a relaxed structure of SmPt4, as listed in the Alexandria database.

Cell lengths 5.071, 5.071, 5.071 Å; angles 90.00, 90.00, 90.00 degrees
Fractional positions:
Sm 0.000 0.000 0.000
Pt 0.000 0.000 0.500
Pt 0.000 0.500 0.000
Pt 0.500 0.000 0.000
Pt 0.500 0.500 0.500

Summary:
E	-22.1	eV/f.u.
E_form	1.36	eV/atom
SG	No. 221
density	11.85	g/cm³
relative energy among the computed polymorphs	2089.5	meV per atom
total moment	0.000	μB/atom

---

No. 5
First-principles (GGA-PBE) data for a relaxed structure of YMgCd2, as listed in the Alexandria database.

Cell lengths 5.222, 5.222, 6.020 Å; angles 100.88, 100.88, 38.55 degrees
Fractional positions:
Y 0.000 0.000 0.000
Mg 0.500 0.500 0.500
Cd 0.246 0.246 0.729
Cd 0.754 0.754 0.271

Summary:
E	-10.5	eV/f.u.
E_form	-0.15	eV/atom
SG	No. 12
density	5.60	g/cm³
total moment	0.000	μB/atom

---

No. 6
First-principles (GGA-PBE) data for a relaxed structure of NaAlCd3, as listed in the Alexandria database.

Cell lengths 5.406, 5.406, 5.406 Å; angles 90.00, 90.00, 90.00 degrees
Fractional positions:
Na 0.000 0.000 0.000
Al 0.500 0.500 0.500
Cd 0.000 0.000 0.500
Cd 0.000 0.500 0.000
Cd 0.500 0.000 0.000

Summary:
E	-4.5	eV/f.u.
E_form	0.67	eV/atom
SG	No. 221
density	4.07	g/cm³
relative energy among the computed polymorphs	481.5	meV per atom
total moment	0.000	μB/atom